Entry 1:
DFT (PBE) results for a relaxed MgPb2Br crystal.

Values from the calculation:
Formation energy from raw total energies (eV/atom): -0.136
Energy relative to the lowest polymorph listed for this composition (eV per formula unit): 0.85

Lattice parameters (Å, degrees): 10.4086 10.4086 10.4086 20.03 20.03 20.03
Atoms (fractional coordinates):
1 Br 0.2500 0.2500 0.2500
2 Mg 0.7500 0.7500 0.7500
3 Pb 0.9984 0.9984 0.9984
4 Pb 0.5016 0.5016 0.5016

Entry 2:
DFT (PBE) results for a relaxed Dy3CuC crystal.

Values from the calculation:
Energy relative to the lowest polymorph listed for this composition (eV per formula unit): 0.00

Lattice parameters (Å, degrees): 4.9919 6.1888 8.9640 59.80 73.83 66.22
Atoms (fractional coordinates):
1 Dy 0.9200 0.9600 0.2000
2 Dy 0.0800 0.0400 0.8000
3 Dy 0.6439 0.6319 0.0802
4 Dy 0.3561 0.3681 0.9198
5 Dy 0.8260 0.7160 0.6320
6 Dy 0.1740 0.2840 0.3680
7 Cu 0.4229 0.7377 0.4166
8 Cu 0.5771 0.2623 0.5834
9 C 0.1374 0.6409 0.0843
10 C 0.8626 0.3591 0.9157

Entry 3:
DFT (PBE) results for a relaxed Y2ZnH crystal.

Values from the calculation:
Energy relative to the lowest polymorph listed for this composition (eV per formula unit): 0.00

Lattice parameters (Å, degrees): 6.7322 6.7322 5.9973 55.86 55.86 90.00
Atoms (fractional coordinates):
1 Y 0.5391 0.1250 0.2500
2 Y 0.2109 0.6250 0.2500
3 Y 0.3750 0.4609 0.7500
4 Y 0.8750 0.7891 0.7500
5 H 0.5000 0.5000 0.0000
6 H 0.2500 0.7500 0.5000
7 Zn 0.0000 0.0000 0.0000
8 Zn 0.7500 0.2500 0.5000

Entry 4:
DFT (PBE) results for a relaxed TaAg3B crystal.

Values from the calculation:
Energy relative to the lowest polymorph listed for this composition (eV per formula unit): 7.28

Lattice parameters (Å, degrees): 5.1887 5.1887 5.1887 90.00 90.00 90.00
Atoms (fractional coordinates):
1 B 0.5000 0.5000 0.5000
2 Ag 0.0000 0.5000 0.0000
3 Ag 0.0000 0.0000 0.5000
4 Ag 0.5000 0.0000 0.0000
5 Ta 0.0000 0.0000 0.0000

Entry 5:
DFT (PBE) results for a relaxed Sm2GeBRh6 crystal.

Lattice parameters (Å, degrees): 6.4237 6.1257 8.6810 90.00 90.00 90.00
Atoms (fractional coordinates):
1 Sm 0.5000 0.7379 0.2525
2 Sm 0.0000 0.2621 0.7525
3 Sm 0.5000 0.7379 0.7475
4 Sm 0.0000 0.2621 0.2475
5 Ge 0.0000 0.6795 0.5000
6 Ge 0.5000 0.3205 0.0000
7 B 0.5000 0.1786 0.5000
8 B 0.0000 0.8214 0.0000
9 Rh 0.5000 0.2108 0.2647
10 Rh 0.5000 0.2108 0.7353
11 Rh 0.0000 0.7892 0.2353
12 Rh 0.0000 0.7892 0.7647
13 Rh 0.2326 0.9942 0.5000
14 Rh 0.7674 0.9942 0.5000
15 Rh 0.2912 0.4539 0.5000
16 Rh 0.7088 0.4539 0.5000
17 Rh 0.7912 0.5461 0.0000
18 Rh 0.2088 0.5461 0.0000
19 Rh 0.2674 0.0058 0.0000
20 Rh 0.7326 0.0058 0.0000

Entry 6:
DFT (PBE) results for a relaxed Sr2CePd4 crystal.

Lattice parameters (Å, degrees): 5.6195 5.6195 6.8245 114.31 114.31 90.00
Atoms (fractional coordinates):
1 Sr 0.6751 0.6751 0.3502
2 Sr 0.3249 0.3249 0.6498
3 Ce 0.0000 0.0000 0.0000
4 Pd 0.3764 0.8764 0.7528
5 Pd 0.8764 0.3764 0.7528
6 Pd 0.6236 0.1236 0.2472
7 Pd 0.1236 0.6236 0.2472

Entry 7:
DFT (PBE) results for a relaxed LiBSe2 crystal.

Values from the calculation:
Formation energy from raw total energies (eV/atom): -0.540

Lattice parameters (Å, degrees): 6.0800 8.0392 5.9898 90.00 90.00 90.00
Atoms (fractional coordinates):
1 B 0.0579 0.3746 0.9988
2 B 0.9421 0.6254 0.4988
3 B 0.4421 0.8746 0.4988
4 B 0.5579 0.1254 0.9988
5 Se 0.4653 0.9037 0.1491
6 Se 0.5347 0.0963 0.6491
7 Se 0.0347 0.4037 0.6491
8 Se 0.9653 0.5963 0.1491
9 Se 0.1115 0.8397 0.5924
10 Se 0.8885 0.1603 0.0924
11 Se 0.3885 0.3397 0.0924
12 Se 0.6115 0.6603 0.5924
13 Li 0.0767 0.8815 0.0095
14 Li 0.9233 0.1185 0.5095
15 Li 0.4233 0.3815 0.5095
16 Li 0.5767 0.6185 0.0095

Entry 8:
DFT (PBE) results for a relaxed LiEr2Se3 crystal.

Values from the calculation:
Formation energy from raw total energies (eV/atom): -1.706
Energy relative to the lowest polymorph listed for this composition (eV per formula unit): 0.00

Lattice parameters (Å, degrees): 3.9948 5.6842 6.9448 114.16 106.72 90.00
Atoms (fractional coordinates):
1 Li 0.5000 0.5000 0.5000
2 Er 0.8338 0.8338 0.1675
3 Er 0.1662 0.1662 0.8325
4 Se 0.8383 0.3383 0.1765
5 Se 0.1617 0.6617 0.8235
6 Se 0.5000 0.0000 0.5000

Entry 9:
DFT (PBE) results for a relaxed Sm4Te2Rh crystal.

Values from the calculation:
Formation energy from raw total energies (eV/atom): -0.935

Lattice parameters (Å, degrees): 4.2098 7.1631 8.4846 115.91 104.36 90.00
Atoms (fractional coordinates):
1 Sm 0.8942 0.2179 0.7883
2 Sm 0.1058 0.7821 0.2117
3 Sm 0.6084 0.2568 0.2167
4 Sm 0.3916 0.7432 0.7833
5 Te 0.7398 0.7441 0.4797
6 Te 0.2602 0.2559 0.5203
7 Rh 0.0000 0.0000 0.0000

no.,final energy (eV per atom),theoretical density (Mg/m³)
1,-2.807,7.4
2,-5.615,8.6
3,-4.666,4.9
4,-3.041,6.1
5,-7.107,9.7
6,-4.751,7.0
7,-4.430,4.0
8,-5.289,7.0
9,-5.579,7.2